1.
An optimized crystal structure of BeCr2Os, computed with GGA-PBE.

As for the density of states at the Fermi level: 0.78 states/eV per atom. The density is 10.75 Mg/m³. The uncorrected energy comes out at -8.54 eV/atom. The value obtained for the formation energy from the elements is 9.2 meV per atom. As for the total moment: 0.4 Bohr magnetons per cell.

Cell: 4.662 4.662 4.662 Å, 143.66 127.74 65.31°
Fractional positions:
Be: 0.000 0.000 0.000
Cr: 0.254 0.754 0.500
Cr: 0.488 0.488 0.000
Os: 0.746 0.246 0.500



2.
An optimized crystal structure of Dy2Ho3Al3, computed with GGA-PBE.

As for the density of states at the Fermi level: 0.67 states/eV per atom. The density is 7.42 Mg/m³. The uncorrected energy comes out at -4.57 eV/atom. Its offset from the most stable computed form is 0 meV per atom. The value obtained for the formation energy from the elements is -297.0 meV per atom. As for the total moment: 0.0 Bohr magnetons per cell.

Cell: 11.202 11.202 11.202 Å, 161.21 153.54 32.66°
Fractional positions:
Dy: 0.230 0.230 0.000
Dy: 0.770 0.770 0.000
Ho: 0.000 0.000 0.000
Ho: 0.380 0.880 0.500
Ho: 0.620 0.120 0.500
Al: 0.116 0.616 0.500
Al: 0.500 0.500 0.000
Al: 0.884 0.384 0.500



3.
An optimized crystal structure of Sm2Sc3Se6, computed with GGA-PBE.

As for the density of states at the Fermi level: 0.50 states/eV per atom. The density is 5.63 Mg/m³. Its uncorrected formation energy is -1.770 eV per atom. The uncorrected energy comes out at -6.26 eV/atom. As for the total moment: 0.0 Bohr magnetons per cell.

Cell: 6.846 6.846 6.980 Å, 99.46 99.46 119.77°
Fractional positions:
Sm: 0.165 0.835 0.000
Sm: 0.835 0.165 0.000
Sc: 0.000 0.000 0.500
Sc: 0.333 0.667 0.500
Sc: 0.667 0.333 0.500
Se: 0.085 0.411 0.732
Se: 0.265 0.265 0.265
Se: 0.411 0.085 0.732
Se: 0.589 0.915 0.268
Se: 0.735 0.735 0.735
Se: 0.915 0.589 0.268



4.
An optimized crystal structure of Zr2ScCuN, computed with GGA-PBE.

As for the density of states at the Fermi level: 0.52 states/eV per atom. The density is 5.91 Mg/m³. Its uncorrected formation energy is -0.747 eV per atom. The uncorrected energy comes out at -7.92 eV/atom. As for the total moment: 0.0 Bohr magnetons per cell.

Cell: 4.446 4.446 4.338 Å, 90.00 90.00 90.00°
Fractional positions:
Zr: 0.000 0.500 0.000
Zr: 0.500 0.000 0.000
Sc: 0.000 0.000 0.500
Cu: 0.500 0.500 0.500
N: 0.000 0.000 0.000



5.
An optimized crystal structure of La2Pr3Ho6Er, computed with GGA-PBE.

As for the density of states at the Fermi level: 1.15 states/eV per atom. The density is 7.77 Mg/m³. The uncorrected energy comes out at -4.67 eV/atom. The value obtained for the formation energy from the elements is 16.3 meV per atom. As for the total moment: 0.0 Bohr magnetons per cell.

Cell: 6.264 6.264 11.866 Å, 95.04 95.04 119.99°
Fractional positions:
La: 0.166 0.834 0.000
La: 0.834 0.166 0.000
Pr: 0.000 0.000 0.500
Pr: 0.333 0.667 0.500
Pr: 0.667 0.333 0.500
Ho: 0.084 0.417 0.750
Ho: 0.251 0.251 0.250
Ho: 0.417 0.084 0.750
Ho: 0.583 0.916 0.250
Ho: 0.749 0.749 0.750
Ho: 0.916 0.583 0.250
Er: 0.500 0.500 0.000



6.
An optimized crystal structure of Ce2ErTmSe4, computed with GGA-PBE.

As for the density of states at the Fermi level: 1.54 states/eV per atom. The density is 7.85 Mg/m³. Its uncorrected formation energy is -1.767 eV per atom. The uncorrected energy comes out at -6.12 eV/atom. As for the total moment: 2.1 Bohr magnetons per cell.

Cell: 7.049 4.059 7.279 Å, 90.00 108.74 90.00°
Fractional positions:
Ce: 0.000 0.000 0.000
Ce: 0.500 0.500 0.000
Er: 0.000 0.500 0.500
Tm: 0.500 0.000 0.500
Se: 0.245 0.000 0.733
Se: 0.257 0.500 0.267
Se: 0.743 0.500 0.733
Se: 0.755 0.000 0.267



What did the second record say?
An optimized crystal structure of Dy2Ho3Al3, computed with GGA-PBE.

As for the density of states at the Fermi level: 0.67 states/eV per atom. The density is 7.42 Mg/m³. The uncorrected energy comes out at -4.57 eV/atom. Its offset from the most stable computed form is 0 meV per atom. The value obtained for the formation energy from the elements is -297.0 meV per atom. As for the total moment: 0.0 Bohr magnetons per cell.

Cell: 11.202 11.202 11.202 Å, 161.21 153.54 32.66°
Fractional positions:
Dy: 0.230 0.230 0.000
Dy: 0.770 0.770 0.000
Ho: 0.000 0.000 0.000
Ho: 0.380 0.880 0.500
Ho: 0.620 0.120 0.500
Al: 0.116 0.616 0.500
Al: 0.500 0.500 0.000
Al: 0.884 0.384 0.500